1.
An optimized crystal structure of Cd2SiPb, computed with PBE-GGA.

The structure in POSCAR format:
```
Cd2SiPb
1.0
9.411 0.000 0.000
0.000 3.785 0.000
-1.862 0.000 5.534
Cd Si Pb
4 2 2
Direct
0.000 0.000 0.000
0.236 0.000 0.750
0.500 0.500 0.000
0.736 0.500 0.750
0.498 0.000 0.609
0.998 0.500 0.609
0.281 0.500 0.294
0.781 0.000 0.294
```

Calculated values
As for the energy relative to the lowest polymorph listed for this composition: 17 meV per atom. Its symmetry is Cm, No. 8.


2.
An optimized crystal structure of Cd2SiPb, computed with PBE-GGA.

The structure in POSCAR format:
```
Cd2SiPb
1.0
3.551 0.000 0.000
-1.775 3.075 0.000
0.000 0.000 26.944
Cd Si Pb
6 3 3
Direct
0.000 0.000 0.238
0.000 0.000 0.762
0.333 0.667 0.429
0.333 0.667 0.905
0.667 0.333 0.095
0.667 0.333 0.571
0.000 0.000 0.500
0.333 0.667 0.167
0.667 0.333 0.833
0.000 0.000 0.000
0.333 0.667 0.667
0.667 0.333 0.333
```

Calculated values
As for the energy relative to the lowest polymorph listed for this composition: 26 meV per atom. Its symmetry is R-3m, No. 166.


3.
An optimized crystal structure of CdSi2Pb, computed with PBE-GGA.

The structure in POSCAR format:
```
CdSi2Pb
1.0
3.739 0.000 0.000
0.000 3.739 0.000
0.000 0.000 6.471
Cd Si Pb
1 2 1
Direct
0.000 0.000 0.000
0.500 0.500 0.187
0.500 0.500 0.813
0.000 0.000 0.500
```

Calculated values
As for the energy relative to the lowest polymorph listed for this composition: 238 meV per atom. Its symmetry is P4/mmm, No. 123.


4.
An optimized crystal structure of CdSiPb, computed with PBE-GGA.

The structure in POSCAR format:
```
CdSiPb
1.0
3.171 0.000 0.000
0.000 3.961 0.000
0.000 0.000 11.523
Cd Si Pb
2 2 2
Direct
0.000 0.000 0.000
0.500 0.500 0.500
0.000 0.000 0.375
0.500 0.500 0.875
0.000 0.000 0.705
0.500 0.500 0.205
```

Calculated values
As for the energy relative to the lowest polymorph listed for this composition: 72 meV per atom. Its symmetry is Imm2, No. 44.


5.
An optimized crystal structure of Cd2SiPb, computed with PBE-GGA.

The structure in POSCAR format:
```
Cd2SiPb
1.0
3.542 0.000 0.000
-1.771 3.067 0.000
0.000 0.000 26.924
Cd Si Pb
6 3 3
Direct
0.000 0.000 0.000
0.000 0.000 0.250
0.333 0.667 0.667
0.333 0.667 0.917
0.667 0.333 0.333
0.667 0.333 0.583
0.000 0.000 0.739
0.333 0.667 0.405
0.667 0.333 0.072
0.000 0.000 0.486
0.333 0.667 0.153
0.667 0.333 0.820
```

Calculated values
As for the energy relative to the lowest polymorph listed for this composition: 35 meV per atom. Its symmetry is R3m, No. 160.


6.
An optimized crystal structure of CdSi2Pb, computed with PBE-GGA.

The structure in POSCAR format:
```
CdSi2Pb
1.0
3.545 0.000 0.000
0.000 3.546 0.000
-0.023 0.000 7.178
Cd Si Pb
1 2 1
Direct
0.000 0.000 0.000
0.004 0.500 0.669
0.503 0.000 0.668
0.502 0.500 0.304
```

Calculated values
As for the energy relative to the lowest polymorph listed for this composition: 63 meV per atom. Its symmetry is Pm, No. 6.


7.
An optimized crystal structure of Cd2SiPb, computed with PBE-GGA.

The structure in POSCAR format:
```
Cd2SiPb
1.0
6.394 0.000 0.000
0.000 8.960 0.000
0.000 0.000 3.343
Cd Si Pb
4 2 2
Direct
0.250 0.250 0.000
0.250 0.750 0.000
0.750 0.250 0.000
0.750 0.750 0.000
0.000 0.000 0.500
0.500 0.500 0.500
0.000 0.500 0.500
0.500 0.000 0.500
```

Calculated values
As for the energy relative to the lowest polymorph listed for this composition: 80 meV per atom. Its symmetry is Cmmm, No. 65.


8.
An optimized crystal structure of CdSi2Pb, computed with PBE-GGA.

The structure in POSCAR format:
```
CdSi2Pb
1.0
9.796 0.000 0.000
0.000 3.691 0.000
-2.130 0.000 5.295
Cd Si Pb
2 4 2
Direct
0.000 0.000 0.000
0.500 0.500 0.000
0.248 0.500 0.140
0.252 0.000 0.860
0.748 0.000 0.140
0.752 0.500 0.860
0.000 0.500 0.500
0.500 0.000 0.500
```

Calculated values
As for the energy relative to the lowest polymorph listed for this composition: 188 meV per atom. Its symmetry is C2/m, No. 12.


Number 1: magnetic moment 0.000 μB per formula unit, theoretical density 7.75 g/cm3, raw formation energy 0.286 eV per atom. Number 2: magnetic moment 0.000 μB per formula unit, theoretical density 7.79 g/cm3, raw formation energy 0.294 eV per atom. Number 3: magnetic moment 0.000 μB per formula unit, theoretical density 6.90 g/cm3, raw formation energy 0.458 eV per atom. Number 4: magnetic moment 0.000 μB per formula unit, theoretical density 7.98 g/cm3, raw formation energy 0.378 eV per atom. Number 5: magnetic moment 0.000 μB per formula unit, theoretical density 7.84 g/cm3, raw formation energy 0.304 eV per atom. Number 6: magnetic moment 0.000 μB per formula unit, theoretical density 6.92 g/cm3, raw formation energy 0.283 eV per atom. Number 7: magnetic moment 0.000 μB per formula unit, theoretical density 7.98 g/cm3, raw formation energy 0.349 eV per atom. Number 8: magnetic moment 0.000 μB per formula unit, theoretical density 6.52 g/cm3, raw formation energy 0.407 eV per atom.